<a>
# HoB2MoN

An optimized crystal structure of HoB2MoN (GGA-PBE, OQMD).

* total magnetization: 0.001 μB/atom
* space-group type: P2_1/m, No. 11

a b c (Å): 6.0204 3.1189 6.7706
angles (deg): 90.00 104.91 90.00
Sites, in units of the cell vectors:
1 Mo 0.2524 0.2500 0.2543
2 Mo 0.7476 0.7500 0.7457
3 B 0.4276 0.7500 0.4937
4 B 0.0728 0.7500 0.0129
5 B 0.9272 0.2500 0.9871
6 B 0.5724 0.2500 0.5063
7 Ho 0.2849 0.2500 0.7776
8 Ho 0.7151 0.7500 0.2224
9 N 0.3265 0.7500 0.0513
10 N 0.6735 0.2500 0.9487


<b>
# HoB2MoN

An optimized crystal structure of HoB2MoN (GGA-PBE, OQMD).

* total magnetization: 0.000 μB/atom
* space-group type: P2_1/m, No. 11

a b c (Å): 5.4061 3.1444 6.4917
angles (deg): 90.00 104.67 90.00
Sites, in units of the cell vectors:
1 N 0.7223 0.2500 0.0208
2 N 0.2777 0.7500 0.9792
3 Mo 0.6713 0.7500 0.2468
4 Mo 0.3286 0.2500 0.7532
5 B 0.5850 0.2500 0.5029
6 B 0.4150 0.7500 0.4971
7 B 0.0892 0.7500 0.4970
8 B 0.9108 0.2500 0.5030
9 Ho 0.8374 0.7500 0.7954
10 Ho 0.1626 0.2500 0.2046


Stability summary: most stable <b>, least stable <a>.


<a>
# NpB

An optimized crystal structure of NpB (GGA-PBE, OQMD).

* total magnetization: 1.518 μB/atom
* space-group type: P6_3/mmc, No. 194

a b c (Å): 3.6368 3.6368 5.6332
angles (deg): 90.00 90.00 120.00
Sites, in units of the cell vectors:
1 B 0.6667 0.3333 0.7500
2 B 0.3333 0.6667 0.2500
3 Np 0.0000 0.0000 0.0000
4 Np 0.0000 0.0000 0.5000


<b>
# NpB

An optimized crystal structure of NpB (GGA-PBE, OQMD).

* total magnetization: 1.519 μB/atom
* space-group type: Fm-3m, No. 225

a b c (Å): 3.5813 3.5813 3.5813
angles (deg): 60.00 60.00 60.00
Sites, in units of the cell vectors:
1 Np 0.5000 0.5000 0.5000
2 B 0.0000 0.0000 0.0000


Stability summary: most stable <a>, least stable <b>.


<a>
# NdLuNO

An optimized crystal structure of NdLuNO (GGA-PBE, OQMD).

* total magnetization: 0.002 μB/atom
* space-group type: Pmc2_1, No. 26

a b c (Å): 3.9937 4.9035 6.9568
angles (deg): 90.00 90.00 90.00
Sites, in units of the cell vectors:
1 Lu 0.0000 0.9389 0.6630
2 Lu 0.0000 0.4389 0.3370
3 O 0.5000 0.9388 0.7967
4 O 0.5000 0.4388 0.2033
5 Nd 0.5000 0.4386 0.8362
6 Nd 0.5000 0.9386 0.1638
7 N 0.0000 0.9378 0.3492
8 N 0.0000 0.4378 0.6508


<b>
# NdLuNO

An optimized crystal structure of NdLuNO (GGA-PBE, OQMD).

* total magnetization: 0.001 μB/atom
* space-group type: P4/nmm, No. 129

a b c (Å): 4.6458 4.6458 5.9464
angles (deg): 90.00 90.00 90.00
Sites, in units of the cell vectors:
1 N 0.2500 0.2500 0.6194
2 N 0.7500 0.7500 0.3806
3 Lu 0.7500 0.7500 0.0312
4 Lu 0.2500 0.2500 0.9688
5 O 0.2500 0.7500 0.0000
6 O 0.7500 0.2500 0.0000
7 Nd 0.7500 0.2500 0.5000
8 Nd 0.2500 0.7500 0.5000


<c>
# NdLuNO

An optimized crystal structure of NdLuNO (GGA-PBE, OQMD).

* total magnetization: 0.001 μB/atom
* space-group type: P4/nmm, No. 129

a b c (Å): 4.3522 4.3522 8.5609
angles (deg): 90.00 90.00 90.00
Sites, in units of the cell vectors:
1 O 0.2500 0.7500 0.0000
2 O 0.7500 0.2500 0.0000
3 Nd 0.2500 0.2500 0.1130
4 Nd 0.7500 0.7500 0.8870
5 Lu 0.7500 0.2500 0.5000
6 Lu 0.2500 0.7500 0.5000
7 N 0.7500 0.7500 0.4428
8 N 0.2500 0.2500 0.5572


Stability summary: most stable <a>, least stable <c>.


<a>
# CoW2

An optimized crystal structure of CoW2 (GGA-PBE, OQMD).

* total magnetization: 0.000 μB/atom
* space-group type: Cmcm, No. 63

a b c (Å): 4.9634 4.9634 8.0674
angles (deg): 90.00 90.00 120.09
Sites, in units of the cell vectors:
1 W 0.6655 0.3345 0.5744
2 W 0.0000 0.0000 0.0000
3 W 0.6655 0.3345 0.9256
4 W 0.8134 0.1866 0.2500
5 W 0.1866 0.8134 0.7500
6 W 0.3345 0.6655 0.4256
7 W 0.3345 0.6655 0.0744
8 W 0.0000 0.0000 0.5000
9 Co 0.3361 0.1820 0.2500
10 Co 0.8180 0.6639 0.2500
11 Co 0.1820 0.3361 0.7500
12 Co 0.6639 0.8180 0.7500


<b>
# CoW2

An optimized crystal structure of CoW2 (GGA-PBE, OQMD).

* total magnetization: 0.195 μB/atom
* space-group type: P4_2/mnm, No. 136

a b c (Å): 9.2595 9.2595 5.0758
angles (deg): 90.00 90.00 90.00
Sites, in units of the cell vectors:
1 W 0.1036 0.8964 0.5000
2 W 0.3964 0.3964 0.0000
3 W 0.1860 0.1860 0.2497
4 W 0.3140 0.6860 0.2503
5 W 0.0579 0.7285 0.0000
6 W 0.8140 0.8140 0.7503
7 W 0.8964 0.1036 0.5000
8 W 0.7285 0.0579 0.0000
9 W 0.8140 0.8140 0.2497
10 W 0.2285 0.4421 0.5000
11 W 0.3140 0.6860 0.7497
12 W 0.6860 0.3140 0.7497
13 W 0.4421 0.2285 0.5000
14 W 0.9421 0.2715 0.0000
15 W 0.7715 0.5579 0.5000
16 W 0.6036 0.6036 0.0000
17 W 0.5579 0.7715 0.5000
18 W 0.6860 0.3140 0.2503
19 W 0.2715 0.9421 0.0000
20 W 0.1860 0.1860 0.7503
21 Co 0.5360 0.8668 0.0000
22 Co 0.3668 0.9640 0.5000
23 Co 0.0360 0.6332 0.5000
24 Co 0.6332 0.0360 0.5000
25 Co 0.5000 0.5000 0.5000
26 Co 0.0000 0.0000 0.0000
27 Co 0.8668 0.5360 0.0000
28 Co 0.4640 0.1332 0.0000
29 Co 0.9640 0.3668 0.5000
30 Co 0.1332 0.4640 0.0000


<c>
# CoW2

An optimized crystal structure of CoW2 (GGA-PBE, OQMD).

* total magnetization: 0.132 μB/atom
* space-group type: P6_3/mmc, No. 194

a b c (Å): 5.0965 5.0965 16.1396
angles (deg): 90.00 90.00 120.00
Sites, in units of the cell vectors:
1 W 0.8358 0.6717 0.7500
2 W 0.0000 0.5000 0.0000
3 W 0.5000 0.0000 0.0000
4 W 0.0000 0.5000 0.5000
5 W 0.0000 0.0000 0.9052
6 W 0.0000 0.0000 0.5948
7 W 0.6717 0.8358 0.2500
8 W 0.5000 0.5000 0.5000
9 W 0.1642 0.3283 0.2500
10 W 0.5000 0.5000 0.0000
11 W 0.3283 0.1642 0.7500
12 W 0.8358 0.1642 0.7500
13 W 0.5000 0.0000 0.5000
14 W 0.0000 0.0000 0.4052
15 W 0.1642 0.8358 0.2500
16 W 0.0000 0.0000 0.0948
17 Co 0.3333 0.6667 0.3732
18 Co 0.3333 0.6667 0.1268
19 Co 0.6667 0.3333 0.1626
20 Co 0.6667 0.3333 0.3374
21 Co 0.6667 0.3333 0.8732
22 Co 0.3333 0.6667 0.8374
23 Co 0.3333 0.6667 0.6626
24 Co 0.6667 0.3333 0.6268


Stability summary: most stable <a>, least stable <c>.


<a>
# YTlCuRe

An optimized crystal structure of YTlCuRe (GGA-PBE, OQMD).

* total magnetization: 0.001 μB/atom
* space-group type: F-43m, No. 216

a b c (Å): 4.7885 4.7885 4.7885
angles (deg): 60.00 60.00 60.00
Sites, in units of the cell vectors:
1 Cu 0.7500 0.7500 0.7500
2 Y 0.5000 0.5000 0.5000
3 Tl 0.0000 0.0000 0.0000
4 Re 0.2500 0.2500 0.2500


<b>
# YTlCuRe

An optimized crystal structure of YTlCuRe (GGA-PBE, OQMD).

* total magnetization: 0.000 μB/atom
* space-group type: F-43m, No. 216

a b c (Å): 4.8152 4.8152 4.8152
angles (deg): 60.00 60.00 60.00
Sites, in units of the cell vectors:
1 Re 0.5000 0.5000 0.5000
2 Cu 0.7500 0.7500 0.7500
3 Y 0.2500 0.2500 0.2500
4 Tl 0.0000 0.0000 0.0000


Stability summary: most stable <a>, least stable <b>.


<a>
# YBiIrAu

An optimized crystal structure of YBiIrAu (GGA-PBE, OQMD).

* total magnetization: 0.000 μB/atom
* space-group type: F-43m, No. 216

a b c (Å): 4.9668 4.9668 4.9668
angles (deg): 60.00 60.00 60.00
Sites, in units of the cell vectors:
1 Bi 0.0000 0.0000 0.0000
2 Y 0.5000 0.5000 0.5000
3 Ir 0.2500 0.2500 0.2500
4 Au 0.7500 0.7500 0.7500


<b>
# YBiIrAu

An optimized crystal structure of YBiIrAu (GGA-PBE, OQMD).

* total magnetization: 0.000 μB/atom
* space-group type: F-43m, No. 216

a b c (Å): 4.9134 4.9134 4.9134
angles (deg): 60.00 60.00 60.00
Sites, in units of the cell vectors:
1 Ir 0.0000 0.0000 0.0000
2 Bi 0.2500 0.2500 0.2500
3 Y 0.5000 0.5000 0.5000
4 Au 0.7500 0.7500 0.7500


Stability summary: most stable <a>, least stable <b>.


<a>
# TmC2

An optimized crystal structure of TmC2 (GGA-PBE, OQMD).

* total magnetization: 0.000 μB/atom
* space-group type: Fd-3m, No. 227

a b c (Å): 4.5337 4.5337 4.5337
angles (deg): 60.00 60.00 60.00
Sites, in units of the cell vectors:
1 C 0.1250 0.6250 0.6250
2 C 0.6250 0.6250 0.6250
3 C 0.6250 0.6250 0.1250
4 C 0.6250 0.1250 0.6250
5 Tm 0.0000 0.0000 0.0000
6 Tm 0.2500 0.2500 0.2500


<b>
# TmC2

An optimized crystal structure of TmC2 (GGA-PBE, OQMD).

* total magnetization: 1.662 μB/atom
* space-group type: Fd-3m, No. 227

a b c (Å): 7.3785 7.3785 7.3785
angles (deg): 60.00 60.00 60.00
Sites, in units of the cell vectors:
1 C 0.3750 0.3750 0.8750
2 C 0.3750 0.3750 0.3750
3 C 0.3750 0.8750 0.3750
4 C 0.8750 0.3750 0.3750
5 Tm 0.5000 0.5000 0.5000
6 Tm 0.2500 0.2500 0.2500


Stability summary: most stable <a>, least stable <b>.


<a>
# GdSnTe3Au

An optimized crystal structure of GdSnTe3Au (GGA-PBE, OQMD).

* total magnetization: 0.000 μB/atom
* space-group type: Pnma, No. 62

a b c (Å): 12.6710 4.4199 12.6115
angles (deg): 90.00 90.00 90.00
Sites, in units of the cell vectors:
1 Au 0.7723 0.2500 0.7048
2 Au 0.2277 0.7500 0.2952
3 Au 0.7277 0.7500 0.2048
4 Au 0.2723 0.2500 0.7952
5 Gd 0.9620 0.7500 0.8056
6 Gd 0.0380 0.2500 0.1944
7 Gd 0.4620 0.7500 0.6944
8 Gd 0.5380 0.2500 0.3056
9 Te 0.2889 0.2500 0.1732
10 Te 0.7889 0.2500 0.3268
11 Te 0.9079 0.7500 0.0625
12 Te 0.0245 0.7500 0.3699
13 Te 0.4755 0.2500 0.8699
14 Te 0.5921 0.2500 0.5625
15 Te 0.0921 0.2500 0.9375
16 Te 0.4079 0.7500 0.4375
17 Te 0.7111 0.7500 0.8268
18 Te 0.5245 0.7500 0.1301
19 Te 0.2111 0.7500 0.6732
20 Te 0.9755 0.2500 0.6301
21 Sn 0.2072 0.2500 0.4604
22 Sn 0.7072 0.2500 0.0396
23 Sn 0.2928 0.7500 0.9604
24 Sn 0.7928 0.7500 0.5396


<b>
# GdSnTe3Au

An optimized crystal structure of GdSnTe3Au (GGA-PBE, OQMD).

* total magnetization: 0.001 μB/atom
* space-group type: Pnma, No. 62

a b c (Å): 14.5680 4.3020 11.6355
angles (deg): 90.00 90.00 90.00
Sites, in units of the cell vectors:
1 Au 0.5070 0.2500 0.0938
2 Au 0.4930 0.7500 0.9062
3 Au 0.0070 0.2500 0.4062
4 Au 0.9930 0.7500 0.5938
5 Sn 0.7224 0.7500 0.0574
6 Sn 0.2224 0.7500 0.4426
7 Sn 0.7776 0.2500 0.5574
8 Sn 0.2776 0.2500 0.9426
9 Te 0.1262 0.2500 0.6148
10 Te 0.6528 0.2500 0.2498
11 Te 0.1113 0.7500 0.9444
12 Te 0.6262 0.2500 0.8852
13 Te 0.3887 0.2500 0.4444
14 Te 0.8738 0.7500 0.3852
15 Te 0.8472 0.7500 0.7498
16 Te 0.1528 0.2500 0.2502
17 Te 0.8887 0.2500 0.0556
18 Te 0.6113 0.7500 0.5556
19 Te 0.3738 0.7500 0.1148
20 Te 0.3472 0.7500 0.7502
21 Gd 0.0073 0.7500 0.1828
22 Gd 0.9927 0.2500 0.8172
23 Gd 0.4927 0.2500 0.6828
24 Gd 0.5073 0.7500 0.3172


Stability summary: most stable <b>, least stable <a>.


<a>
# SrTmAsO

An optimized crystal structure of SrTmAsO (GGA-PBE, OQMD).

* total magnetization: 0.000 μB/atom
* space-group type: Pmc2_1, No. 26

a b c (Å): 4.6303 7.1903 6.4099
angles (deg): 90.00 90.00 90.00
Sites, in units of the cell vectors:
1 As 0.0000 0.2251 0.9133
2 As 0.0000 0.7749 0.4133
3 Tm 0.5000 0.6100 0.5384
4 Tm 0.5000 0.3900 0.0384
5 O 0.5000 0.6434 0.8699
6 O 0.5000 0.3566 0.3699
7 Sr 0.0000 0.7950 0.9324
8 Sr 0.0000 0.2050 0.4324


<b>
# SrTmAsO

An optimized crystal structure of SrTmAsO (GGA-PBE, OQMD).

* total magnetization: 0.020 μB/atom
* space-group type: P4/nmm, No. 129

a b c (Å): 4.8565 4.8565 9.2355
angles (deg): 90.00 90.00 90.00
Sites, in units of the cell vectors:
1 Sr 0.2500 0.2500 0.0593
2 Sr 0.7500 0.7500 0.9407
3 O 0.2500 0.7500 0.0000
4 O 0.7500 0.2500 0.0000
5 Tm 0.7500 0.2500 0.5000
6 Tm 0.2500 0.7500 0.5000
7 As 0.2500 0.2500 0.6434
8 As 0.7500 0.7500 0.3566


Stability summary: most stable <a>, least stable <b>.


<a>
# CsReNO

An optimized crystal structure of CsReNO (GGA-PBE, OQMD).

* total magnetization: 0.004 μB/atom
* space-group type: Pca2_1, No. 29

a b c (Å): 6.3361 9.6652 5.1462
angles (deg): 90.00 90.00 90.00
Sites, in units of the cell vectors:
1 N 0.5778 0.2856 0.0148
2 N 0.0778 0.7144 0.0148
3 N 0.4222 0.7144 0.5148
4 N 0.9222 0.2856 0.5148
5 O 0.4261 0.9912 0.1534
6 O 0.5739 0.0088 0.6534
7 O 0.9261 0.0088 0.1534
8 O 0.0739 0.9912 0.6534
9 Re 0.8471 0.1133 0.5163
10 Re 0.1529 0.8867 0.0164
11 Re 0.3471 0.8867 0.5163
12 Re 0.6529 0.1133 0.0164
13 Cs 0.4386 0.3575 0.5178
14 Cs 0.0614 0.3575 0.0178
15 Cs 0.5614 0.6425 0.0178
16 Cs 0.9386 0.6425 0.5178


<b>
# CsReNO

An optimized crystal structure of CsReNO (GGA-PBE, OQMD).

* total magnetization: 0.266 μB/atom
* space-group type: P4/nmm, No. 129

a b c (Å): 4.5271 4.5271 7.7132
angles (deg): 90.00 90.00 90.00
Sites, in units of the cell vectors:
1 N 0.5000 0.0000 0.2769
2 N 0.0000 0.5000 0.7231
3 Cs 0.5000 0.5000 0.5000
4 Cs 0.0000 0.0000 0.5000
5 Re 0.5000 0.0000 0.0549
6 Re 0.0000 0.5000 0.9451
7 O 0.5000 0.5000 0.0000
8 O 0.0000 0.0000 0.0000


Stability summary: most stable <a>, least stable <b>.